[1]
4
Lattice="4.003 0.000 0.000 0.000 4.390 0.019 0.000 2.186 5.331" Properties=species:S:1:pos:R:3 comment="CuPPb2, relaxed, DFT GGA-PBE" sg="Pm (6)" vol_a3_per_atom=23.38 mass_density_g_cm3=9.0 dft_energy_ev_per_cell=-16.49 delta_e_f_ev_per_atom=0.1077 pbc="T T T"
Cu 0.000 4.070 2.766
P 2.002 4.148 3.969
Pb 0.000 6.302 4.929
Pb 2.002 1.919 1.710

[2]
5
Lattice="-1.693 2.888 4.309 2.241 -3.681 3.347 4.678 2.808 -0.044" Properties=species:S:1:pos:R:3 comment="CuPPb3, relaxed, DFT GGA-PBE" sg="Pm-3m (221)" e_above_lowest_polymorph_kj_per_mol_fu=105 vol_a3_per_atom=32.49 mass_density_g_cm3=7.3 dft_energy_ev_per_cell=-17.08 delta_e_f_ev_per_atom=0.7110 pbc="T T T"
Pb 1.120 -1.840 1.673
Pb 2.339 1.404 -0.022
Pb -0.847 1.444 2.154
P 0.000 0.000 0.000
Cu 2.613 1.007 3.806

[3]
18
Lattice="-5.429 -0.034 6.921 -0.835 -6.107 -6.275 4.194 -3.934 3.271" Properties=species:S:1:pos:R:3 comment="CuP3Pb5, relaxed, DFT GGA-PBE" sg="P6_3/mcm (193)" vol_a3_per_atom=24.63 mass_density_g_cm3=8.9 dft_energy_ev_per_cell=-72.75 delta_e_f_ev_per_atom=0.2770 pbc="T T T"
Pb 0.437 -5.458 -3.780
Pb -0.626 -2.625 0.990
Pb -2.929 -1.008 5.888
Pb 2.922 -4.583 0.776
Pb -1.444 -7.450 2.926
Pb 1.694 -2.959 4.303
Pb -3.898 -2.058 2.522
Pb -0.269 -6.050 -0.241
Pb -2.366 -4.083 -1.876
Pb -1.801 -4.025 4.157
P 0.724 -3.355 -1.619
P -2.783 -4.740 1.213
P -1.060 -0.997 3.505
P 2.635 -6.686 -1.385
P 0.713 -5.335 2.704
P -0.176 -2.971 6.686
Cu 0.000 0.000 0.000
Cu 2.097 -1.967 1.635

[4]
18
Lattice="-4.570 1.732 -5.802 -0.043 -5.013 -5.693 -6.278 -4.223 -0.546" Properties=species:S:1:pos:R:3 comment="CuP3Pt12Pb2, relaxed, DFT GGA-PBE" sg="R-3m (166)" vol_a3_per_atom=18.93 mass_density_g_cm3=14.2 dft_energy_ev_per_cell=-103.26 delta_e_f_ev_per_atom=-0.1682 pbc="T T T"
Cu 0.000 0.000 0.000
P -2.285 0.866 -2.901
P -0.022 -2.506 -2.847
P -3.139 -2.111 -0.273
Pt -7.239 -4.933 -4.594
Pt -6.381 -4.447 -10.216
Pt -7.225 -7.391 -7.618
Pt -6.329 -1.758 -7.396
Pt -9.464 -4.056 -7.672
Pt -3.915 -5.354 -7.338
Pt -3.652 -2.571 -7.447
Pt -4.510 -3.057 -1.825
Pt -3.666 -0.113 -4.423
Pt -4.563 -5.745 -4.645
Pt -1.428 -3.447 -4.370
Pt -6.976 -2.150 -4.703
Pb -6.705 -4.619 -7.413
Pb -4.186 -2.884 -4.628

[5]
5
Lattice="-3.865 3.484 -0.767 -3.295 -3.053 2.736 1.355 2.469 4.388" Properties=species:S:1:pos:R:3 comment="CuP2PbS, relaxed, DFT GGA-PBE" sg="P4/mmm (123)" e_above_lowest_polymorph_kj_per_mol_fu=477 vol_a3_per_atom=28.85 mass_density_g_cm3=4.2 raw_formation_energy_ev_per_atom=1.495 dft_energy_ev_per_cell=-15.28 pbc="T T T"
Pb 0.000 0.000 0.000
P -1.648 -1.527 1.368
P -1.932 1.742 -0.383
S 0.678 1.235 2.194
Cu -2.902 1.450 3.179

[6]
7
Lattice="6.363 0.000 0.000 0.000 6.363 0.000 -3.181 -3.181 4.379" Properties=species:S:1:pos:R:3 comment="CuPPbS4, relaxed, DFT GGA-PBE" sg="I-4 (82)" vol_a3_per_atom=25.33 mass_density_g_cm3=4.0 raw_formation_energy_ev_per_atom=-0.307 dft_energy_ev_per_cell=-31.87 pbc="T T T"
Cu 3.181 3.181 0.000
P 0.000 3.181 2.190
Pb 0.000 0.000 0.000
S -1.018 -1.653 3.159
S 1.528 4.200 1.220
S 1.018 1.653 3.159
S 4.834 2.163 1.220

Copy entry 5 word for word.
5
Lattice="-3.865 3.484 -0.767 -3.295 -3.053 2.736 1.355 2.469 4.388" Properties=species:S:1:pos:R:3 comment="CuP2PbS, relaxed, DFT GGA-PBE" sg="P4/mmm (123)" e_above_lowest_polymorph_kj_per_mol_fu=477 vol_a3_per_atom=28.85 mass_density_g_cm3=4.2 raw_formation_energy_ev_per_atom=1.495 dft_energy_ev_per_cell=-15.28 pbc="T T T"
Pb 0.000 0.000 0.000
P -1.648 -1.527 1.368
P -1.932 1.742 -0.383
S 0.678 1.235 2.194
Cu -2.902 1.450 3.179

Which formula does entry 3 have? CuP3Pb5